1.
DFT (GGA-PBE) results for a relaxed structure of KTlSeBr2.

Cell and atoms, written as POSCAR:
```
KTlSeBr2
1.0
6.143 0.000 0.000
0.000 6.143 0.000
0.000 0.000 5.980
K Tl Se Br
1 1 1 2
Cartesian
0.000 0.000 0.000
3.071 3.071 2.990
0.000 0.000 2.990
0.000 3.071 0.000
3.071 0.000 0.000
```

Values from the calculation:
Space-group type   P4/mmm, No. 123
Crystal system   tetragonal
Formation energy from raw total energies   -0.30 eV per atom
Excess energy over the best structure of this formula in the dataset   385 meV per atom
Volume   225.7 Å³/cell
M_tot   2.031 μB per formula unit


2.
DFT (GGA-PBE) results for a relaxed structure of KVSe2Br.

Cell and atoms, written as POSCAR:
```
KVSe2Br
1.0
4.855 0.000 0.000
0.000 4.855 0.000
0.000 0.000 5.638
K V Se Br
1 1 2 1
Cartesian
0.000 0.000 0.000
2.427 2.427 2.819
0.000 2.427 2.819
2.427 0.000 2.819
2.427 2.427 0.000
```

Values from the calculation:
Space-group type   P4/mmm, No. 123
Crystal system   tetragonal
Formation energy from raw total energies   -0.79 eV per atom
Excess energy over the best structure of this formula in the dataset   0 meV per atom
Volume   132.9 Å³/cell
M_tot   1.232 μB per formula unit


Number 1: E_tot -2.36 eV per atom. Number 2: E_tot -4.56 eV per atom.